VASP calculation (PBE) on TbPr4Ho15 after structural relaxation.

Properties
**Energy relative to the elements**: 22 meV per atom

Cell lengths 5.0475, 5.0475, 25.1098 Å; angles 90.00, 90.00, 90.00 degrees
Closest atoms and distances in Å follow each position.
Fractional coordinates of all 20 atoms:
Tb  0.0000  0.0000  0.0000  12 Ho 3.53-3.57
Pr  0.0000  0.0000  0.1992  12 Ho 3.56-3.57
Pr  0.0000  0.0000  0.3996  12 Ho 3.57
Pr  0.0000  0.0000  0.6004  12 Ho 3.57
Pr  0.0000  0.0000  0.8008  12 Ho 3.56-3.57
Ho  0.0000  0.5000  0.0984  2 Tb 3.53, 8 Ho 3.53-3.57, 2 Pr 3.57
Ho  0.0000  0.5000  0.2992  4 Pr 3.56-3.57, 8 Ho 3.57
Ho  0.0000  0.5000  0.5000  8 Ho 3.57, 4 Pr 3.57
Ho  0.0000  0.5000  0.7008  4 Pr 3.56-3.57, 8 Ho 3.57
Ho  0.0000  0.5000  0.9016  2 Tb 3.53, 8 Ho 3.53-3.57, 2 Pr 3.57
Ho  0.5000  0.0000  0.0984  2 Tb 3.53, 8 Ho 3.53-3.57, 2 Pr 3.57
Ho  0.5000  0.0000  0.2992  4 Pr 3.56-3.57, 8 Ho 3.57
Ho  0.5000  0.0000  0.5000  8 Ho 3.57, 4 Pr 3.57
Ho  0.5000  0.0000  0.7008  4 Pr 3.56-3.57, 8 Ho 3.57
Ho  0.5000  0.0000  0.9016  2 Tb 3.53, 8 Ho 3.53-3.57, 2 Pr 3.57
Ho  0.5000  0.5000  0.0000  8 Ho 3.53, 4 Tb 3.57
Ho  0.5000  0.5000  0.1988  8 Ho 3.57, 4 Pr 3.57
Ho  0.5000  0.5000  0.3997  8 Ho 3.57, 4 Pr 3.57
Ho  0.5000  0.5000  0.6003  8 Ho 3.57, 4 Pr 3.57
Ho  0.5000  0.5000  0.8012  8 Ho 3.57, 4 Pr 3.57



VASP calculation (PBE) on LiAl3Co after structural relaxation.

Properties
**Energy relative to the elements**: -152 meV per atom
**Offset from the most stable computed form**: 77 meV per atom

Cell lengths 4.4875, 4.4875, 4.4875 Å; angles 90.00, 90.00, 90.00 degrees
Closest atoms and distances in Å follow each position.
Fractional coordinates of all 5 atoms:
Li  0.0000  0.0000  0.0000  12 Al 3.17
Al  0.0000  0.5000  0.5000  2 Co 2.24
Al  0.5000  0.0000  0.5000  2 Co 2.24
Al  0.5000  0.5000  0.0000  2 Co 2.24
Co  0.5000  0.5000  0.5000  6 Al 2.24



VASP calculation (PBE) on TiCdFeCu2 after structural relaxation.

Properties
**Energy relative to the elements**: 983 meV per atom

Cell lengths 4.6989, 4.6989, 4.0924 Å; angles 90.00, 90.00, 90.00 degrees
Closest atoms and distances in Å follow each position.
Fractional coordinates of all 5 atoms:
Ti  0.0000  0.0000  0.0000  2 Fe 2.05
Cd  0.5000  0.5000  0.5000  8 Cu 3.12, 4 Fe 3.32
Fe  0.0000  0.0000  0.5000  2 Ti 2.05
Cu  0.0000  0.5000  0.0000  2 Ti 2.35
Cu  0.5000  0.0000  0.0000  2 Ti 2.35



VASP calculation (PBE) on PuGaAgAu after structural relaxation.

Properties
**Energy relative to the elements**: -209 meV per atom

Cell lengths 6.9344, 6.9344, 6.9344 Å; angles 90.00, 90.00, 90.00 degrees
Closest atoms and distances in Å follow each position.
Fractional coordinates of all 16 atoms:
Pu  0.0000  0.0000  0.0000  4 Ga 3.00, 4 Au 3.00
Pu  0.0000  0.5000  0.5000  4 Ga 3.00, 4 Au 3.00
Pu  0.5000  0.0000  0.5000  4 Ga 3.00, 4 Au 3.00
Pu  0.5000  0.5000  0.0000  4 Ga 3.00, 4 Au 3.00
Ga  0.2500  0.2500  0.2500  4 Pu 3.00, 4 Ag 3.00
Ga  0.2500  0.7500  0.7500  4 Pu 3.00, 4 Ag 3.00
Ga  0.7500  0.2500  0.7500  4 Pu 3.00, 4 Ag 3.00
Ga  0.7500  0.7500  0.2500  4 Pu 3.00, 4 Ag 3.00
Ag  0.0000  0.0000  0.5000  4 Au 3.00, 4 Ga 3.00
Ag  0.0000  0.5000  0.0000  4 Ga 3.00, 4 Au 3.00
Ag  0.5000  0.0000  0.0000  4 Ga 3.00, 4 Au 3.00
Ag  0.5000  0.5000  0.5000  4 Au 3.00, 4 Ga 3.00
Au  0.2500  0.2500  0.7500  4 Pu 3.00, 4 Ag 3.00
Au  0.2500  0.7500  0.2500  4 Pu 3.00, 4 Ag 3.00
Au  0.7500  0.2500  0.2500  4 Pu 3.00, 4 Ag 3.00
Au  0.7500  0.7500  0.7500  4 Ag 3.00, 4 Pu 3.00



VASP calculation (PBE) on RbScSi after structural relaxation.

Properties
**ΔE_f (raw)**: -1.1 kcal/mol of atoms
**Offset from the most stable computed form**: 206 meV per atom

Cell lengths 3.8159, 13.6859, 7.2962 Å; angles 90.00, 90.00, 90.00 degrees
Closest atoms and distances in Å follow each position.
Fractional coordinates of all 12 atoms:
Rb  0.0000  0.2250  0.2500  3 Si 3.63-3.75, 2 Rb 3.82, 4 Sc 4.06
Rb  0.0000  0.7750  0.7500  3 Si 3.63-3.75, 2 Rb 3.82, 4 Sc 4.06
Rb  0.5000  0.2750  0.7500  3 Si 3.63-3.75, 2 Rb 3.82, 4 Sc 4.06
Rb  0.5000  0.7250  0.2500  3 Si 3.63-3.75, 2 Rb 3.82, 4 Sc 4.06
Sc  0.0000  0.5000  0.0000  4 Si 2.72
Sc  0.0000  0.5000  0.5000  4 Si 2.72
Sc  0.5000  0.0000  0.0000  4 Si 2.72
Sc  0.5000  0.0000  0.5000  4 Si 2.72
Si  0.0000  0.0489  0.7500  4 Sc 2.72
Si  0.0000  0.9511  0.2500  4 Sc 2.72
Si  0.5000  0.4511  0.2500  4 Sc 2.72
Si  0.5000  0.5489  0.7500  4 Sc 2.72



VASP calculation (PBE) on Ti2VNiN after structural relaxation.

Properties
**ΔE_f (raw)**: 16.1 kcal/mol of atoms
**Offset from the most stable computed form**: 1454 meV per atom

Cell lengths 4.5897, 4.5897, 3.6601 Å; angles 90.00, 90.00, 90.00 degrees
Closest atoms and distances in Å follow each position.
Fractional coordinates of all 5 atoms:
Ti  0.0000  0.5000  0.0000  2 V 2.29
Ti  0.5000  0.0000  0.0000  2 V 2.29
V  0.0000  0.0000  0.0000  2 N 1.83
Ni  0.5000  0.5000  0.5000  8 Ti 2.94, 4 N 3.25
N  0.0000  0.0000  0.5000  2 V 1.83



VASP calculation (PBE) on SnP3O9 after structural relaxation.

Properties
**ΔE_f (raw)**: -46.0 kcal/mol of atoms
**Offset from the most stable computed form**: 0 meV per atom

Cell lengths 6.9378, 6.9378, 10.4978 Å; angles 90.00, 90.00, 120.00 degrees
Closest atoms and distances in Å follow each position.
Fractional coordinates of all 26 atoms:
Sn  0.0000  0.0000  0.0000  6 O 2.06
Sn  0.0000  0.0000  0.5000  6 O 2.50
P  0.3964  0.1250  0.2226  4 O 1.48-1.62
P  0.3964  0.2714  0.7774  4 O 1.48-1.62
P  0.7286  0.1250  0.7774  4 O 1.48-1.62
P  0.7286  0.6036  0.2226  4 O 1.48-1.62
P  0.8750  0.2714  0.2226  4 O 1.48-1.62
P  0.8750  0.6036  0.7774  4 O 1.48-1.62
O  0.2450  0.0008  0.1104  1 P 1.53
O  0.2450  0.2442  0.8896  1 P 1.53
O  0.3060  0.0551  0.3529  1 P 1.48
O  0.3060  0.2509  0.6471  1 P 1.48
O  0.4889  0.1021  0.8023  2 P 1.61-1.62
O  0.4889  0.3868  0.1977  2 P 1.61-1.62
O  0.6132  0.1021  0.1977  2 P 1.61-1.62
O  0.6132  0.5111  0.8023  2 P 1.61-1.62
O  0.7491  0.0551  0.6471  1 P 1.48
O  0.7491  0.6940  0.3529  1 P 1.48
O  0.7558  0.0008  0.8896  1 P 1.53
O  0.7558  0.7550  0.1104  1 P 1.53
O  0.8979  0.3868  0.8023  2 P 1.61-1.62
O  0.8979  0.5111  0.1977  2 P 1.61-1.62
O  0.9449  0.2509  0.3529  1 P 1.48
O  0.9449  0.6940  0.6471  1 P 1.48
O  0.9992  0.2442  0.1104  1 P 1.53
O  0.9992  0.7550  0.8896  1 P 1.53



VASP calculation (PBE) on Tl2BiPt2 after structural relaxation.

Properties
**Energy relative to the elements**: 28 meV per atom
**Offset from the most stable computed form**: 97 meV per atom

Cell lengths 7.8183, 7.8183, 3.6854 Å; angles 90.00, 90.00, 90.00 degrees
Closest atoms and distances in Å follow each position.
Fractional coordinates of all 10 atoms:
Tl  0.1644  0.3356  0.0000  6 Pt 2.92-2.97
Tl  0.3356  0.8356  0.0000  6 Pt 2.92-2.97
Tl  0.6644  0.1644  0.0000  6 Pt 2.92-2.97
Tl  0.8356  0.6644  0.0000  6 Pt 2.92-2.97
Bi  0.0000  0.0000  0.5000  4 Pt 3.06
Bi  0.5000  0.5000  0.5000  4 Pt 3.06
Pt  0.1312  0.6312  0.5000  1 Pt 2.90, 6 Tl 2.92-2.97, 2 Bi 3.06
Pt  0.3688  0.1312  0.5000  1 Pt 2.90, 6 Tl 2.92-2.97, 2 Bi 3.06
Pt  0.6312  0.8688  0.5000  1 Pt 2.90, 6 Tl 2.92-2.97, 2 Bi 3.06
Pt  0.8688  0.3688  0.5000  1 Pt 2.90, 6 Tl 2.92-2.97, 2 Bi 3.06



| no. | VASP energy (eV/f.u.) |
| --- | --- |
| 1 | -91.969 |
| 2 | -21.008 |
| 3 | -20.549 |
| 4 | -24.323 |
| 5 | -12.862 |
| 6 | -35.525 |
| 7 | -90.787 |
| 8 | -20.555 |